(1)
Compound: HfTa2Pd
Source: OQMD
Functional: PBE
Structure: optimized geometry

CIF file:
```
data_HfTa2Pd
_cell_length_a 6.591
_cell_length_b 6.591
_cell_length_c 6.591
_cell_angle_alpha 90.00
_cell_angle_beta 90.00
_cell_angle_gamma 90.00
_symmetry_space_group_name_H-M 'F -4 3 m'
_symmetry_Int_Tables_number 216
_symmetry_space_group_name_Hall 'F -4 2 3'
loop_
_atom_site_label
_atom_site_type_symbol
_atom_site_fract_x
_atom_site_fract_y
_atom_site_fract_z
Hf1 Hf 0.000 0.000 0.000
Ta1 Ta 0.000 0.000 0.500
Ta2 Ta 0.250 0.250 0.250
Pd1 Pd 0.250 0.250 0.750
```

---

(2)
# HfTc2Pd, optimized geometry, DFT PBE
data_HfTc2Pd
_cell_length_a 6.373
_cell_length_b 6.373
_cell_length_c 6.373
_cell_angle_alpha 90.00
_cell_angle_beta 90.00
_cell_angle_gamma 90.00
_symmetry_space_group_name_H-M 'F -4 3 m'
_symmetry_Int_Tables_number 216
_symmetry_space_group_name_Hall 'F -4 2 3'
loop_
_atom_site_label
_atom_site_type_symbol
_atom_site_fract_x
_atom_site_fract_y
_atom_site_fract_z
Hf1 Hf 0.000 0.000 0.000
Tc1 Tc 0.000 0.000 0.500
Tc2 Tc 0.250 0.250 0.250
Pd1 Pd 0.250 0.250 0.750
# polymorph energy (0 for the lowest one) = 0 meV/atom

---

(3)
Compound: Hf2TcPd
Source: OQMD
Functional: PBE
Structure: optimized geometry

CIF file:
```
data_Hf2TcPd
_cell_length_a 3.297
_cell_length_b 3.297
_cell_length_c 6.548
_cell_angle_alpha 90.00
_cell_angle_beta 90.00
_cell_angle_gamma 90.00
_symmetry_space_group_name_H-M 'P 4/m m m'
_symmetry_Int_Tables_number 123
_symmetry_space_group_name_Hall '-P 4 2'
loop_
_atom_site_label
_atom_site_type_symbol
_atom_site_fract_x
_atom_site_fract_y
_atom_site_fract_z
Hf1 Hf 0.000 0.000 0.239
Tc1 Tc 0.500 0.500 0.000
Pd1 Pd 0.500 0.500 0.500
```

---

(4)
# HfTc2Pd, optimized geometry, DFT PBE
data_HfTc2Pd
_cell_length_a 4.127
_cell_length_b 4.127
_cell_length_c 15.117
_cell_angle_alpha 90.00
_cell_angle_beta 90.00
_cell_angle_gamma 90.00
_symmetry_space_group_name_H-M 'I 4/m m m'
_symmetry_Int_Tables_number 139
_symmetry_space_group_name_Hall '-I 4 2'
loop_
_atom_site_label
_atom_site_type_symbol
_atom_site_fract_x
_atom_site_fract_y
_atom_site_fract_z
Hf1 Hf 0.000 0.500 0.250
Tc1 Tc 0.000 0.000 0.113
Tc2 Tc 0.000 0.500 0.000
Pd1 Pd 0.000 0.000 0.383
# polymorph energy (0 for the lowest one) = 25 meV/atom

---

(5)
Compound: Hf2TcPd
Source: OQMD
Functional: PBE
Structure: optimized geometry

CIF file:
```
data_Hf2TcPd
_cell_length_a 6.549
_cell_length_b 6.644
_cell_length_c 6.486
_cell_angle_alpha 90.00
_cell_angle_beta 90.00
_cell_angle_gamma 90.00
_symmetry_space_group_name_H-M 'I m m a'
_symmetry_Int_Tables_number 74
_symmetry_space_group_name_Hall '-I 2b 2'
loop_
_atom_site_label
_atom_site_type_symbol
_atom_site_fract_x
_atom_site_fract_y
_atom_site_fract_z
Hf1 Hf 0.250 0.000 0.250
Tc1 Tc 0.000 0.250 0.000
Pd1 Pd 0.000 0.250 0.499
```

---

(6)
Compound: Hf2TcPd
Source: OQMD
Functional: PBE
Structure: optimized geometry

CIF file:
```
data_Hf2TcPd
_cell_length_a 6.543
_cell_length_b 6.543
_cell_length_c 6.543
_cell_angle_alpha 90.00
_cell_angle_beta 90.00
_cell_angle_gamma 90.00
_symmetry_space_group_name_H-M 'F -4 3 m'
_symmetry_Int_Tables_number 216
_symmetry_space_group_name_Hall 'F -4 2 3'
loop_
_atom_site_label
_atom_site_type_symbol
_atom_site_fract_x
_atom_site_fract_y
_atom_site_fract_z
Hf1 Hf 0.000 0.000 0.000
Hf2 Hf 0.250 0.250 0.250
Tc1 Tc 0.000 0.000 0.500
Pd1 Pd 0.250 0.250 0.750
```

---

(7)
Compound: Hf2TcPd
Source: OQMD
Functional: PBE
Structure: optimized geometry

CIF file:
```
data_Hf2TcPd
_cell_length_a 6.566
_cell_length_b 6.566
_cell_length_c 6.566
_cell_angle_alpha 90.00
_cell_angle_beta 90.00
_cell_angle_gamma 90.00
_symmetry_space_group_name_H-M 'F m -3 m'
_symmetry_Int_Tables_number 225
_symmetry_space_group_name_Hall '-F 4 2 3'
loop_
_atom_site_label
_atom_site_type_symbol
_atom_site_fract_x
_atom_site_fract_y
_atom_site_fract_z
Hf1 Hf 0.250 0.250 0.250
Tc1 Tc 0.000 0.000 0.000
Pd1 Pd 0.000 0.000 0.500
```

---

(8)
Compound: Hf2TcPd
Source: OQMD
Functional: PBE
Structure: optimized geometry

CIF file:
```
data_Hf2TcPd
_cell_length_a 4.648
_cell_length_b 4.648
_cell_length_c 6.551
_cell_angle_alpha 90.00
_cell_angle_beta 90.00
_cell_angle_gamma 90.00
_symmetry_space_group_name_H-M 'I 4/m m m'
_symmetry_Int_Tables_number 139
_symmetry_space_group_name_Hall '-I 4 2'
loop_
_atom_site_label
_atom_site_type_symbol
_atom_site_fract_x
_atom_site_fract_y
_atom_site_fract_z
Hf1 Hf 0.000 0.500 0.250
Tc1 Tc 0.000 0.000 0.000
Pd1 Pd 0.000 0.000 0.500
```

---

Number 1: formation energy -56 kJ/mol of formula units, density 15.00 Mg/m³. Number 2: formation energy -56 kJ/mol of formula units, density 12.34 Mg/m³. Number 3: formation energy -263 kJ/mol of formula units, density 13.09 Mg/m³. Number 4: formation energy -46 kJ/mol of formula units, density 12.41 Mg/m³. Number 5: formation energy -243 kJ/mol of formula units, density 13.21 Mg/m³. Number 6: formation energy -41 kJ/mol of formula units, density 13.31 Mg/m³. Number 7: formation energy -240 kJ/mol of formula units, density 13.17 Mg/m³. Number 8: formation energy -240 kJ/mol of formula units, density 13.17 Mg/m³.